Material: LiGe2Te6
Method: DFT, PBE-GGA
State: optimized geometry

Results
ΔE_f (raw): -0.0740 eV/atom

a = 7.9202 Å, b = 9.5362 Å, c = 9.5362 Å
α = 72.21°, β = 78.83°, γ = 78.83°
Fractional positions:
Li 0.2500 0.1287 0.8713
Li 0.7500 0.8713 0.1287
Ge 0.3528 0.6351 0.7740
Ge 0.1472 0.2260 0.3649
Ge 0.6472 0.3649 0.2260
Ge 0.8528 0.7740 0.6351
Te 0.6097 0.6761 0.5433
Te 0.8903 0.4567 0.3239
Te 0.3903 0.3239 0.4567
Te 0.1097 0.5433 0.6761
Te 0.8794 0.9483 0.3465
Te 0.6206 0.6535 0.0517
Te 0.1206 0.0517 0.6535
Te 0.3794 0.3465 0.9483
Te 0.2874 0.7950 0.9944
Te 0.2126 0.0056 0.2050
Te 0.7126 0.2050 0.0056
Te 0.7874 0.9944 0.7950

Material: LiGe6Te8
Method: DFT, PBE-GGA
State: optimized geometry

Results
ΔE_f (raw): -0.0679 eV/atom

a = 7.6702 Å, b = 7.6702 Å, c = 7.6702 Å
α = 82.84°, β = 82.84°, γ = 82.84°
Fractional positions:
Li 0.0000 0.0000 0.0000
Ge 0.6224 0.3870 0.8647
Ge 0.3870 0.8647 0.6224
Ge 0.8647 0.6224 0.3870
Ge 0.3776 0.6130 0.1353
Ge 0.6130 0.1353 0.3776
Ge 0.1353 0.3776 0.6130
Te 0.7198 0.7198 0.7198
Te 0.2802 0.2802 0.2802
Te 0.6643 0.8592 0.1702
Te 0.8592 0.1702 0.6643
Te 0.1702 0.6643 0.8592
Te 0.3357 0.1408 0.8298
Te 0.1408 0.8298 0.3357
Te 0.8298 0.3357 0.1408

Material: LiGe3Te4
Method: DFT, PBE-GGA
State: optimized geometry

Results
ΔE_f (raw): -0.2279 eV/atom

a = 6.2392 Å, b = 5.7940 Å, c = 11.9049 Å
α = 90.00°, β = 90.00°, γ = 90.00°
Fractional positions:
Li 0.0609 0.2501 0.0000
Li 0.5609 0.7499 0.5000
Ge 0.5282 0.7499 0.0000
Ge 0.0322 0.7501 0.2500
Ge 0.5322 0.2499 0.2500
Ge 0.0282 0.2501 0.5000
Ge 0.5322 0.2499 0.7500
Ge 0.0322 0.7501 0.7500
Te 0.0902 0.7501 0.0000
Te 0.5949 0.2499 0.0000
Te 0.0884 0.2501 0.2523
Te 0.5884 0.7499 0.2477
Te 0.0949 0.7501 0.5000
Te 0.5902 0.2499 0.5000
Te 0.5884 0.7499 0.7523
Te 0.0884 0.2501 0.7477

Material: Li4GeTe2
Method: DFT, PBE-GGA
State: optimized geometry

Results
ΔE_f (raw): -0.3066 eV/atom

a = 4.7173 Å, b = 4.7173 Å, c = 8.0315 Å
α = 72.92°, β = 72.92°, γ = 90.00°
Fractional positions:
Ge 0.0000 0.0000 0.0000
Te 0.6275 0.6275 0.7450
Te 0.3725 0.3725 0.2550
Li 0.8163 0.8163 0.3673
Li 0.1837 0.1837 0.6327
Li 0.0000 0.5000 0.0000
Li 0.5000 0.0000 0.0000

Material: LiGe2Te3
Method: DFT, PBE-GGA
State: optimized geometry

Results
ΔE_f (raw): -0.2755 eV/atom
ΔE to the lowest computed polymorph: 0.08 eV per formula unit

a = 4.1316 Å, b = 5.8449 Å, c = 7.3276 Å
α = 113.50°, β = 106.37°, γ = 90.00°
Fractional positions:
Li 0.5000 0.5000 0.5000
Ge 0.8299 0.8299 0.1598
Ge 0.1701 0.1701 0.8402
Te 0.8310 0.3310 0.1621
Te 0.1690 0.6690 0.8379
Te 0.5000 0.0000 0.5000

Material: Li2ThGeTe4
Method: DFT, PBE-GGA
State: optimized geometry

Results
ΔE_f (raw): -0.8306 eV/atom

a = 4.4131 Å, b = 7.6004 Å, c = 7.3496 Å
α = 109.40°, β = 90.00°, γ = 90.00°
Fractional positions:
Li 0.5000 0.0000 0.5000
Li 0.0000 0.5000 0.5000
Th 0.5000 0.5000 0.0000
Ge 0.0000 0.0000 0.0000
Te 0.5000 0.2417 0.2493
Te 0.5000 0.7583 0.7507
Te 0.0000 0.2399 0.7430
Te 0.0000 0.7601 0.2570

What did the first record say?
Material: LiGe2Te6
Method: DFT, PBE-GGA
State: optimized geometry

Results
ΔE_f (raw): -0.0740 eV/atom

a = 7.9202 Å, b = 9.5362 Å, c = 9.5362 Å
α = 72.21°, β = 78.83°, γ = 78.83°
Fractional positions:
Li 0.2500 0.1287 0.8713
Li 0.7500 0.8713 0.1287
Ge 0.3528 0.6351 0.7740
Ge 0.1472 0.2260 0.3649
Ge 0.6472 0.3649 0.2260
Ge 0.8528 0.7740 0.6351
Te 0.6097 0.6761 0.5433
Te 0.8903 0.4567 0.3239
Te 0.3903 0.3239 0.4567
Te 0.1097 0.5433 0.6761
Te 0.8794 0.9483 0.3465
Te 0.6206 0.6535 0.0517
Te 0.1206 0.0517 0.6535
Te 0.3794 0.3465 0.9483
Te 0.2874 0.7950 0.9944
Te 0.2126 0.0056 0.2050
Te 0.7126 0.2050 0.0056
Te 0.7874 0.9944 0.7950

Q: Number 2 is which compound?
A: LiGe6Te8